1.
# Tb2Sc2Pb2O (PBE-GGA, optimized geometry)
data_Tb2Sc2Pb2O
_chemical_formula_sum 'Tb4 Sc4 Pb4 O2'
_cell_length_a 4.425
_cell_length_b 4.425
_cell_length_c 16.454
_cell_angle_alpha 90.00
_cell_angle_beta 90.00
_cell_angle_gamma 90.00
_space_group_name_H-M_alt 'I 4/m m m'
_space_group_IT_number 139
_space_group_name_Hall '-I 4 2'
loop_
_atom_site_label
_atom_site_type_symbol
_atom_site_fract_x
_atom_site_fract_y
_atom_site_fract_z
_atom_site_occupancy
Tb1 Tb 0.000 0.000 0.169 1
Sc1 Sc 0.000 0.500 0.000 1
Pb1 Pb 0.000 0.000 0.365 1
O1 O 0.000 0.000 0.000 1
# uncorrected formation energy	-1234	meV per atom
# final energy	-85.88	eV for the cell shown
# total magnetization	1.5	Bohr magnetons per cell

---

2.
# ScTcPbO2 (PBE-GGA, optimized geometry)
data_ScTcPbO2
_chemical_formula_sum 'Sc1 Tc1 Pb1 O2'
_cell_length_a 3.959
_cell_length_b 3.959
_cell_length_c 5.649
_cell_angle_alpha 90.00
_cell_angle_beta 90.00
_cell_angle_gamma 90.00
_space_group_name_H-M_alt 'P 4/m m m'
_space_group_IT_number 123
_space_group_name_Hall '-P 4 2'
loop_
_atom_site_label
_atom_site_type_symbol
_atom_site_fract_x
_atom_site_fract_y
_atom_site_fract_z
_atom_site_occupancy
Sc1 Sc 0.000 0.000 0.000 1
Tc1 Tc 0.000 0.000 0.500 1
Pb1 Pb 0.500 0.500 0.000 1
O1 O 0.000 0.500 0.500 1
# uncorrected formation energy	-531	meV per atom
# final energy	-32.98	eV for the cell shown
# total magnetization	0.0	Bohr magnetons per cell

---

3.
# Sc2TePbO8 (PBE-GGA, optimized geometry)
data_Sc2TePbO8
_chemical_formula_sum 'Sc4 Te2 Pb2 O16'
_cell_length_a 6.706
_cell_length_b 6.960
_cell_length_c 6.561
_cell_angle_alpha 90.00
_cell_angle_beta 90.00
_cell_angle_gamma 90.00
_space_group_name_H-M_alt 'C m m m'
_space_group_IT_number 65
_space_group_name_Hall '-C 2 2'
loop_
_atom_site_label
_atom_site_type_symbol
_atom_site_fract_x
_atom_site_fract_y
_atom_site_fract_z
_atom_site_occupancy
Sc1 Sc 0.000 0.000 0.246 1
Te1 Te 0.000 0.500 0.000 1
Pb1 Pb 0.000 0.500 0.500 1
O1 O 0.000 0.309 0.220 1
O2 O 0.187 0.000 0.500 1
O3 O 0.209 0.000 0.000 1
# uncorrected formation energy	-2028	meV per atom
# final energy	-167.03	eV for the cell shown
# total magnetization	0.0	Bohr magnetons per cell